A relaxed structure of NaSr2MnO6, computed with PBE with a Hubbard U. Values from VASP.

Calculated values
Final energy: -5.806 eV/atom

Cell and atoms, written as Quantum ESPRESSO input:
```
&SYSTEM
  ibrav = 0, nat = 10, ntyp = 4
/
ATOMIC_SPECIES
O 16.00 O.upf
Sr 87.62 Sr.upf
Mn 54.94 Mn.upf
Na 22.99 Na.upf
CELL_PARAMETERS angstrom
0.000 4.061 4.061
4.061 0.000 4.061
4.061 4.061 0.000
ATOMIC_POSITIONS crystal
O 0.231 0.231 0.769
O 0.769 0.231 0.231
O 0.231 0.769 0.231
O 0.231 0.769 0.769
O 0.769 0.231 0.769
O 0.769 0.769 0.231
Sr 0.250 0.250 0.250
Sr 0.750 0.750 0.750
Mn 0.000 0.000 0.000
Na 0.500 0.500 0.500
```